Entry 1:
Here is a relaxed EuMg2H6 crystal from Alexandria via LeMat-Bulk. Energies are from PBE-GGA.

Results
Total magnetic moment (μB per formula unit): 6.43
DFT total energy (Ry/atom): -0.2410
Polymorph energy (0 for the lowest one) (meV/atom): 805
Symmetry: Fm-3m, No. 225
Calculated volume (Å³/cell): 109

Cell: 5.3589 5.3589 5.3589 Å, 60.00 60.00 60.00°
Closest atoms and distances in Å follow each position.
Element x y z (fractional)
Eu  0.0000  0.0000  0.0000  6 H 2.13
Mg  0.2500  0.2500  0.2500  12 H 2.69
Mg  0.7500  0.7500  0.7500  12 H 2.69
H  0.2807  0.2807  0.7193  1 Eu 2.13, 4 H 2.35
H  0.2807  0.7193  0.2807  1 Eu 2.13, 4 H 2.35
H  0.2807  0.7193  0.7193  1 Eu 2.13, 4 H 2.35
H  0.7193  0.2807  0.2807  1 Eu 2.13, 4 H 2.35
H  0.7193  0.2807  0.7193  1 Eu 2.13, 4 H 2.35
H  0.7193  0.7193  0.2807  1 Eu 2.13, 4 H 2.35


Entry 2:
Here is a relaxed Eu6Mg7H26 crystal from Alexandria via LeMat-Bulk. Energies are from PBE-GGA.

Results
Total magnetic moment (μB per formula unit): 14.04
DFT total energy (Ry/atom): -0.3296
Symmetry: C2/m, No. 12
Calculated volume (Å³/cell): 435

Cell: 9.2587 9.2587 11.3228 Å, 125.98 125.98 34.66°
Closest atoms and distances in Å follow each position.
Element x y z (fractional)
Eu  0.1441  0.1441  0.4074  8 H 2.36-2.61
Eu  0.1609  0.1609  0.9079  9 H 2.45-2.72
Eu  0.3494  0.3494  0.8449  8 H 2.35-2.62
Eu  0.6506  0.6506  0.1551  8 H 2.35-2.62
Eu  0.8391  0.8391  0.0921  9 H 2.45-2.72
Eu  0.8559  0.8559  0.5926  8 H 2.36-2.61
Mg  0.0000  0.0000  0.0000  6 H 1.90-1.93
Mg  0.2427  0.7573  0.5000  6 H 1.88-1.94
Mg  0.2789  0.2789  0.2922  5 H 1.86-1.93
Mg  0.4815  0.4815  0.2164  6 H 1.88-1.99
Mg  0.5185  0.5185  0.7836  6 H 1.88-1.99
Mg  0.7211  0.7211  0.7078  5 H 1.86-1.93
Mg  0.7573  0.2427  0.5000  6 H 1.88-1.94
H  0.0057  0.4997  0.3828  1 Mg 1.93
H  0.0132  0.4898  0.1454  1 Mg 1.93
H  0.0972  0.0972  0.5757  2 Mg 1.91
H  0.1292  0.1292  0.1783  2 Mg 1.90-2.11
H  0.2025  0.7676  0.3158  2 Mg 1.90-1.94
H  0.2164  0.7077  0.0709  2 Mg 1.93-1.99
H  0.2324  0.7975  0.6842  2 Mg 1.90-1.94
H  0.2923  0.7836  0.9291  2 Mg 1.93-1.99
H  0.3425  0.3425  0.0696  1 Mg 1.94
H  0.3842  0.3842  0.6724  1 Mg 1.88
H  0.4124  0.4124  0.4283  3 Mg 1.86-1.88
H  0.4898  0.0132  0.1454  1 Mg 1.93
H  0.4997  0.0057  0.3828  1 Mg 1.93
H  0.5003  0.9943  0.6172  1 Mg 1.93
H  0.5102  0.9868  0.8546  1 Mg 1.93
H  0.5876  0.5876  0.5717  3 Mg 1.86-1.88
H  0.6158  0.6158  0.3276  1 Mg 1.88
H  0.6575  0.6575  0.9304  1 Mg 1.94
H  0.7077  0.2164  0.0709  2 Mg 1.93-1.99
H  0.7676  0.2025  0.3158  2 Mg 1.90-1.94
H  0.7836  0.2923  0.9291  2 Mg 1.93-1.99
H  0.7975  0.2324  0.6842  2 Mg 1.90-1.94
H  0.8708  0.8708  0.8217  2 Mg 1.90-2.11
H  0.9028  0.9028  0.4243  2 Mg 1.91
H  0.9868  0.5102  0.8546  1 Mg 1.93
H  0.9943  0.5003  0.6172  1 Mg 1.93


Entry 3:
Here is a relaxed EuMgH4 crystal from Alexandria via LeMat-Bulk. Energies are from PBE-GGA.

Results
Total magnetic moment (μB per formula unit): 7.00
DFT total energy (Ry/atom): -0.3399
Symmetry: Cmc2_1, No. 36
Calculated volume (Å³/cell): 137

Cell: 6.7366 6.7366 5.5345 Å, 90.00 90.00 146.85°
Closest atoms and distances in Å follow each position.
Element x y z (fractional)
Eu  0.1514  0.8486  0.5000  8 H 2.35-2.47
Eu  0.8486  0.1514  0.0000  8 H 2.35-2.47
Mg  0.4168  0.5832  0.4499  6 H 1.86-2.03
Mg  0.5832  0.4168  0.9499  6 H 1.86-2.03
H  0.0625  0.9375  0.8959  2 Mg 1.96
H  0.2964  0.7036  0.2447  1 Mg 1.93
H  0.3303  0.6697  0.7282  1 Mg 1.90
H  0.4525  0.5475  0.0931  2 Mg 1.86-2.03
H  0.5475  0.4525  0.5931  2 Mg 1.86-2.03
H  0.6697  0.3303  0.2282  1 Mg 1.90
H  0.7036  0.2964  0.7447  1 Mg 1.93
H  0.9375  0.0625  0.3959  2 Mg 1.96


Which of these has the lowest total magnetic moment? EuMg2H6


Which of these has the highest total magnetic moment? Eu6Mg7H26